Below is crystalline NaTiW2 at its relaxed geometry, with properties calculated at the GGA-PBE level.

Calculated values
ρ: 10.02 g cm⁻³
electronic total energy: -121.77 eV/cell
total magnetic moment: 0.000 μB/atom
relative energy among the computed polymorphs: 0 meV per atom
energy of formation from the pure elements: 4.7 eV/f.u.
Fermi-level density of states: 2.812 states/eV/f.u.

Lattice parameters (Å, degrees): 3.8357 3.8357 19.7660 90.00 90.00 90.00
Space group I-42d (No. 122)
One atom of each set of equivalent atoms:
Na 0.0000 0.0000 0.0000 [4 per cell]
Ti 0.0000 0.0000 0.5000 [4 per cell]
W 0.2275 0.7500 0.6250 [8 per cell]


Below is crystalline NaTiW3 at its relaxed geometry, with properties calculated at the GGA-PBE level.

Calculated values
ρ: 10.10 g cm⁻³
electronic total energy: -38.18 eV/cell
total magnetic moment: 0.000 μB/atom
relative energy among the computed polymorphs: 0 meV per atom
energy of formation from the pure elements: 9.9 eV/f.u.
Fermi-level density of states: 4.251 states/eV/f.u.

Lattice parameters (Å, degrees): 4.6768 4.6768 4.6768 90.00 90.00 90.00
Space group Pm-3m (No. 221)
One atom of each set of equivalent atoms:
Na 0.0000 0.0000 0.0000 [1 per cell]
Ti 0.5000 0.5000 0.5000 [1 per cell]
W 0.0000 0.5000 0.5000 [3 per cell]


Below is crystalline NaTi2W at its relaxed geometry, with properties calculated at the GGA-PBE level.

Calculated values
ρ: 7.27 g cm⁻³
electronic total energy: -110.50 eV/cell
total magnetic moment: 0.000 μB/atom
relative energy among the computed polymorphs: 0 meV per atom
energy of formation from the pure elements: 2.4 eV/f.u.
Fermi-level density of states: 5.239 states/eV/f.u.

Lattice parameters (Å, degrees): 6.5147 6.5147 6.5147 90.00 90.00 90.00
Space group Fm-3m (No. 225)
One atom of each set of equivalent atoms:
Na 0.0000 0.0000 0.0000 [4 per cell]
Ti 0.2500 0.2500 0.2500 [8 per cell]
W 0.0000 0.0000 0.5000 [4 per cell]


Below is crystalline NaTiW2 at its relaxed geometry, with properties calculated at the GGA-PBE level.

Calculated values
ρ: 10.85 g cm⁻³
electronic total energy: -121.66 eV/cell
total magnetic moment: 0.000 μB/atom
relative energy among the computed polymorphs: 7 meV per atom
energy of formation from the pure elements: 4.7 eV/f.u.
Fermi-level density of states: 5.709 states/eV/f.u.

Lattice parameters (Å, degrees): 6.4516 6.4516 6.4516 90.00 90.00 90.00
Space group Fm-3m (No. 225)
One atom of each set of equivalent atoms:
Na 0.0000 0.0000 0.0000 [4 per cell]
Ti 0.0000 0.0000 0.5000 [4 per cell]
W 0.2500 0.2500 0.2500 [8 per cell]


Below is crystalline NaTi2W at its relaxed geometry, with properties calculated at the GGA-PBE level.

Calculated values
ρ: 6.71 g cm⁻³
electronic total energy: -100.08 eV/cell
total magnetic moment: 0.000 μB/atom
relative energy among the computed polymorphs: 651 meV per atom
energy of formation from the pure elements: 5.0 eV/f.u.
Fermi-level density of states: 4.469 states/eV/f.u.

Lattice parameters (Å, degrees): 4.0133 4.0133 18.5843 90.00 90.00 90.00
Space group I-42d (No. 122)
One atom of each set of equivalent atoms:
Na 0.0000 0.0000 0.0000 [4 per cell]
Ti 0.2225 0.2500 0.6250 [8 per cell]
W 0.0000 0.0000 0.5000 [4 per cell]


Below is crystalline Na2TiW at its relaxed geometry, with properties calculated at the GGA-PBE level.

Calculated values
ρ: 5.60 g cm⁻³
electronic total energy: -67.78 eV/cell
total magnetic moment: 0.291 μB/atom
relative energy among the computed polymorphs: 158 meV per atom
energy of formation from the pure elements: 6.5 eV/f.u.
Fermi-level density of states: 2.996 states/eV/f.u.

Lattice parameters (Å, degrees): 6.9077 6.9077 6.9077 90.00 90.00 90.00
Space group Fm-3m (No. 225)
One atom of each set of equivalent atoms:
Na 0.2500 0.2500 0.2500 [8 per cell]
Ti 0.0000 0.0000 0.0000 [4 per cell]
W 0.0000 0.0000 0.5000 [4 per cell]


Below is crystalline Na2TiW at its relaxed geometry, with properties calculated at the GGA-PBE level.

Calculated values
ρ: 5.42 g cm⁻³
electronic total energy: -70.30 eV/cell
total magnetic moment: 0.156 μB/atom
relative energy among the computed polymorphs: 0 meV per atom
energy of formation from the pure elements: 5.9 eV/f.u.
Fermi-level density of states: 3.065 states/eV/f.u.

Lattice parameters (Å, degrees): 8.2814 8.2814 4.9584 90.00 90.00 90.00
Space group I-42d (No. 122)
One atom of each set of equivalent atoms:
Na 0.2471 0.7500 0.1250 [8 per cell]
Ti 0.0000 0.0000 0.0000 [4 per cell]
W 0.0000 0.0000 0.5000 [4 per cell]


Below is crystalline Na2YTiW at its relaxed geometry, with properties calculated at the GGA-PBE level.

Calculated values
ρ: 4.38 g cm⁻³
electronic total energy: -23.56 eV/cell
total magnetic moment: 0.159 μB/atom
energy of formation from the pure elements: 6.4 eV/f.u.
Fermi-level density of states: 5.005 states/eV/f.u.

Lattice parameters (Å, degrees): 5.4717 5.4717 4.6462 90.00 90.00 90.00
Space group P4/mmm (No. 123)
One atom of each set of equivalent atoms:
Na 0.0000 0.5000 0.0000 [2 per cell]
Y 0.0000 0.0000 0.5000 [1 per cell]
Ti 0.5000 0.5000 0.5000 [1 per cell]
W 0.5000 0.5000 0.0000 [1 per cell]


Below is crystalline NaYTi2 at its relaxed geometry, with properties calculated at the GGA-PBE level.

Calculated values
ρ: 3.64 g cm⁻³
electronic total energy: -81.24 eV/cell
total magnetic moment: 0.945 μB/atom
relative energy among the computed polymorphs: 5 meV per atom
energy of formation from the pure elements: 3.3 eV/f.u.
Fermi-level density of states: 5.365 states/eV/f.u.

Lattice parameters (Å, degrees): 4.1559 4.1559 21.9481 90.00 90.00 90.00
Space group I-42d (No. 122)
One atom of each set of equivalent atoms:
Na 0.0000 0.0000 0.0000 [4 per cell]
Y 0.0000 0.0000 0.5000 [4 per cell]
Ti 0.2460 0.2500 0.6250 [8 per cell]


Below is crystalline NaYTi2 at its relaxed geometry, with properties calculated at the GGA-PBE level.

Calculated values
ρ: 3.66 g cm⁻³
electronic total energy: -81.32 eV/cell
total magnetic moment: 0.702 μB/atom
relative energy among the computed polymorphs: 0 meV per atom
energy of formation from the pure elements: 3.2 eV/f.u.
Fermi-level density of states: 6.333 states/eV/f.u.

Lattice parameters (Å, degrees): 7.2198 7.2198 7.2198 90.00 90.00 90.00
Space group Fm-3m (No. 225)
One atom of each set of equivalent atoms:
Na 0.0000 0.0000 0.0000 [4 per cell]
Y 0.0000 0.0000 0.5000 [4 per cell]
Ti 0.2500 0.2500 0.2500 [8 per cell]


Below is crystalline NaY3Ti at its relaxed geometry, with properties calculated at the GGA-PBE level.

Calculated values
ρ: 3.52 g cm⁻³
electronic total energy: -22.66 eV/cell
total magnetic moment: 0.000 μB/atom
relative energy among the computed polymorphs: 690 meV per atom
energy of formation from the pure elements: 6.0 eV/f.u.
Fermi-level density of states: 13.110 states/eV/f.u.

Lattice parameters (Å, degrees): 5.4226 5.4226 5.4226 90.00 90.00 90.00
Space group Pm-3m (No. 221)
One atom of each set of equivalent atoms:
Na 0.0000 0.0000 0.0000 [1 per cell]
Y 0.0000 0.0000 0.5000 [3 per cell]
Ti 0.5000 0.5000 0.5000 [1 per cell]


Below is crystalline NaY2Ti2 at its relaxed geometry, with properties calculated at the GGA-PBE level.

Calculated values
ρ: 3.73 g cm⁻³
electronic total energy: -56.07 eV/cell
total magnetic moment: 0.000 μB/atom
energy of formation from the pure elements: 2.0 eV/f.u.
Fermi-level density of states: 6.562 states/eV/f.u.

Lattice parameters (Å, degrees): 8.9429 8.9429 3.3020 90.00 90.00 90.00
Space group P4/mbm (No. 127)
One atom of each set of equivalent atoms:
Na 0.0000 0.0000 0.0000 [2 per cell]
Y 0.1923 0.3077 0.5000 [4 per cell]
Ti 0.0968 0.5968 0.0000 [4 per cell]


Which of these has the highest energy of formation from the pure elements? NaTiW3


Please write out number 7 again, unchanged.
Below is crystalline Na2TiW at its relaxed geometry, with properties calculated at the GGA-PBE level.

Calculated values
ρ: 5.42 g cm⁻³
electronic total energy: -70.30 eV/cell
total magnetic moment: 0.156 μB/atom
relative energy among the computed polymorphs: 0 meV per atom
energy of formation from the pure elements: 5.9 eV/f.u.
Fermi-level density of states: 3.065 states/eV/f.u.

Lattice parameters (Å, degrees): 8.2814 8.2814 4.9584 90.00 90.00 90.00
Space group I-42d (No. 122)
One atom of each set of equivalent atoms:
Na 0.2471 0.7500 0.1250 [8 per cell]
Ti 0.0000 0.0000 0.0000 [4 per cell]
W 0.0000 0.0000 0.5000 [4 per cell]


Which of these has the highest energy of formation from the pure elements? NaTiW3


Which value of total magnetic moment does entry 5 give? 0.000 μB/atom